Cs3Er2InS6: relaxed, PBE-GGA.

Results
- Total moment: 0.00 μB/cell
- DOS(E_F): 0.00 states/eV/cell
- Raw formation energy: -1475 meV/atom
- Volume: 343.5 Å³ per cell
- Space-group type: No. 12

Cell lengths 7.0205, 7.0205, 8.3805 Å; angles 98.03, 98.03, 119.99 degrees
Sites, in units of the cell vectors:
Cs  0.0000  0.0000  0.0000
Cs  0.3327  0.6673  0.0000
Cs  0.6673  0.3327  0.0000
Er  0.1665  0.8335  0.5000
Er  0.8335  0.1665  0.5000
In  0.5000  0.5000  0.5000
S  0.1106  0.4402  0.3205
S  0.2302  0.2302  0.6803
S  0.4402  0.1106  0.3205
S  0.5598  0.8894  0.6795
S  0.7698  0.7698  0.3197
S  0.8894  0.5598  0.6795

***

Cs2ErInS4: relaxed, PBE-GGA.

Results
- Total moment: 0.00 μB/cell
- Raw formation energy: -1184 meV/atom
- Volume: 456.0 Å³ per cell
- Space-group type: No. 74

Cell lengths 8.6561, 8.6561, 8.6561 Å; angles 120.83, 119.92, 89.36 degrees
Sites, in units of the cell vectors:
Cs  0.0000  0.0000  0.0000
Cs  0.5000  0.0000  0.0000
Cs  0.5000  0.0000  0.5000
Cs  0.5000  0.5000  0.5000
Er  0.0000  0.0000  0.5000
Er  0.0000  0.5000  0.0000
In  0.0000  0.5000  0.5000
In  0.5000  0.5000  0.0000
S  0.1838  0.7288  0.4550
S  0.2261  0.2712  0.9550
S  0.2287  0.2755  0.5468
S  0.2287  0.6818  0.9532
S  0.7713  0.3182  0.0468
S  0.7713  0.7245  0.4532
S  0.7739  0.7288  0.0450
S  0.8162  0.2712  0.5450

***

CsErInSe3: relaxed, PBE-GGA.

Results
- Total moment: 0.00 μB/cell
- DOS(E_F): 4.55 states/eV/cell
- Raw formation energy: -1287 meV/atom
- Volume: 414.9 Å³ per cell
- Space-group type: No. 11

Cell lengths 9.3130, 4.1082, 11.5577 Å; angles 90.00, 110.24, 90.00 degrees
Sites, in units of the cell vectors:
Cs  0.2321  0.2500  0.2703
Cs  0.7679  0.7500  0.7297
Er  0.3591  0.7500  0.8561
Er  0.6409  0.2500  0.1439
In  0.1302  0.2500  0.5816
In  0.8698  0.7500  0.4184
Se  0.1263  0.2500  0.8096
Se  0.3282  0.7500  0.5925
Se  0.4214  0.7500  0.1114
Se  0.5786  0.2500  0.8886
Se  0.6718  0.2500  0.4075
Se  0.8737  0.7500  0.1904

***

Cs3Er2InSe6: relaxed, PBE-GGA.

Results
- Total moment: 0.00 μB/cell
- Raw formation energy: -1395 meV/atom
- Volume: 388.2 Å³ per cell
- Space-group type: No. 12

Cell lengths 7.3177, 7.3177, 8.7187 Å; angles 98.05, 98.05, 119.99 degrees
Sites, in units of the cell vectors:
Cs  0.0000  0.0000  0.0000
Cs  0.3322  0.6678  0.0000
Cs  0.6678  0.3322  0.0000
Er  0.1665  0.8335  0.5000
Er  0.8335  0.1665  0.5000
In  0.5000  0.5000  0.5000
Se  0.1091  0.4391  0.3172
Se  0.2310  0.2310  0.6838
Se  0.4391  0.1091  0.3172
Se  0.5609  0.8909  0.6828
Se  0.7690  0.7690  0.3162
Se  0.8909  0.5609  0.6828

***

Cs3Er3InSe8: relaxed, PBE-GGA.

Results
- Total moment: 0.00 μB/cell
- DOS(E_F): 10.71 states/eV/cell
- Raw formation energy: -1412 meV/atom
- Volume: 509.1 Å³ per cell
- Space-group type: No. 12

Cell lengths 8.2665, 8.2665, 9.8481 Å; angles 114.88, 114.88, 59.92 degrees
Sites, in units of the cell vectors:
Cs  0.0000  0.0000  0.0000
Cs  0.0000  0.5000  0.0000
Cs  0.5000  0.0000  0.0000
Er  0.0000  0.5000  0.5000
Er  0.5000  0.0000  0.5000
Er  0.5000  0.5000  0.5000
In  0.0000  0.0000  0.5000
Se  0.2270  0.2270  0.6824
Se  0.2269  0.7286  0.6825
Se  0.2714  0.7731  0.3175
Se  0.2718  0.2718  0.3154
Se  0.7282  0.7282  0.6846
Se  0.7286  0.2269  0.6825
Se  0.7731  0.2714  0.3175
Se  0.7730  0.7730  0.3176

***

Cs3Er2InTe6: relaxed, PBE-GGA.

Results
- Total moment: 0.00 μB/cell
- Raw formation energy: -1092 meV/atom
- Volume: 474.8 Å³ per cell
- Space-group type: No. 12

Cell lengths 7.8420, 7.8420, 9.2880 Å; angles 98.12, 98.12, 119.96 degrees
Sites, in units of the cell vectors:
Cs  0.0000  0.0000  0.0000
Cs  0.3316  0.6684  0.0000
Cs  0.6684  0.3316  0.0000
Er  0.1663  0.8337  0.5000
Er  0.8337  0.1663  0.5000
In  0.5000  0.5000  0.5000
Te  0.1086  0.4383  0.3143
Te  0.2322  0.2322  0.6872
Te  0.4383  0.1086  0.3143
Te  0.5617  0.8914  0.6857
Te  0.7678  0.7678  0.3128
Te  0.8914  0.5617  0.6857